No. 1
Material: Dy12Er7Pu
Method: DFT, GGA-PBE
State: optimized geometry

## Properties
ΔE_f: 3.2 eV per formula unit
symmetry: R-3, No. 148
D(E_F): 1.544 states/eV/atom

Cell: 9.4446 9.4446 9.4446 Å, 110.38 110.38 110.38°
Last column: nearest neighbours and their distance in Å.
Fractional coordinates of all 20 atoms:
Dy 0.5913 0.0877 0.3804  4 Er 3.42-3.53, 7 Dy 3.54-3.77
Dy 0.0877 0.3804 0.5913  4 Er 3.42-3.53, 7 Dy 3.54-3.77
Dy 0.9123 0.6196 0.4087  4 Er 3.42-3.53, 7 Dy 3.54-3.77
Dy 0.8465 0.9072 0.2717  3 Er 3.30-3.36, 7 Dy 3.54-3.64, 1 Pu 3.57
Dy 0.1535 0.0928 0.7283  3 Er 3.30-3.36, 7 Dy 3.54-3.64, 1 Pu 3.57
Dy 0.0928 0.7283 0.1535  3 Er 3.30-3.36, 7 Dy 3.54-3.64, 1 Pu 3.57
Dy 0.3804 0.5913 0.0877  4 Er 3.42-3.53, 7 Dy 3.54-3.77
Dy 0.4087 0.9123 0.6196  4 Er 3.42-3.53, 7 Dy 3.54-3.77
Dy 0.2717 0.8465 0.9072  3 Er 3.30-3.36, 7 Dy 3.54-3.64, 1 Pu 3.57
Dy 0.6196 0.4087 0.9123  4 Er 3.42-3.53, 7 Dy 3.54-3.77
Dy 0.9072 0.2717 0.8465  3 Er 3.30-3.36, 7 Dy 3.54-3.64, 1 Pu 3.57
Dy 0.7283 0.1535 0.0928  3 Er 3.30-3.36, 7 Dy 3.54-3.64, 1 Pu 3.57
Er 0.7170 0.8459 0.5462  1 Er 2.96, 2 Dy 3.30-3.31
Er 0.1541 0.4538 0.2830  1 Er 2.96, 2 Dy 3.30-3.31
Er 0.2830 0.1541 0.4538  1 Er 2.96, 2 Dy 3.30-3.31
Er 0.4538 0.2830 0.1541  1 Er 2.96, 2 Dy 3.30-3.31
Er 0.8459 0.5462 0.7170  1 Er 2.96, 2 Dy 3.30-3.31
Er 0.5000 0.5000 0.5000  6 Er 2.96
Er 0.5462 0.7170 0.8459  1 Er 2.96, 2 Dy 3.30-3.31
Pu 0.0000 0.0000 0.0000  6 Er 3.55, 6 Dy 3.57

No. 2
Material: DyEr2Pu
Method: DFT, GGA-PBE
State: optimized geometry

## Properties
ΔE_f: 0.7 eV per formula unit
symmetry: F-43m, No. 216
D(E_F): 2.568 states/eV/atom

Cell: 5.5441 5.5441 5.5442 Å, 60.00 60.00 59.98°
Last column: nearest neighbours and their distance in Å.
Fractional coordinates of all 4 atoms:
Pu 0.7498 0.7498 0.7505  4 Er 3.39-3.40, 4 Dy 3.39-3.40
Er 0.2501 0.2501 0.2497  4 Dy 3.39-3.40, 4 Er 3.39-3.40
Er 0.0001 0.0001 0.9997  4 Pu 3.39-3.40, 4 Er 3.39-3.40
Dy 0.5000 0.5000 0.5001  4 Pu 3.39-3.40, 4 Er 3.39-3.40

No. 3
Material: DyErPu
Method: DFT, GGA-PBE
State: optimized geometry

## Properties
ΔE_f: 2.1 eV per formula unit
symmetry: Cmmm, No. 65
D(E_F): 2.742 states/eV/atom

Cell: 3.2787 7.8728 7.8728 Å, 90.02 90.00 90.00°
Last column: nearest neighbours and their distance in Å.
Fractional coordinates of all 6 atoms:
Pu 0.0000 0.0000 0.0000  2 Er 2.93, 4 Dy 3.10, 2 Pu 3.28
Pu 0.5000 0.5000 0.5000  2 Dy 2.94, 4 Er 3.10, 2 Pu 3.28
Er 0.0000 0.7366 0.7366  3 Pu 2.93-3.10, 2 Er 3.28
Er 0.0000 0.2634 0.2634  3 Pu 2.93-3.10, 2 Er 3.28
Dy 0.5000 0.7637 0.2363  3 Pu 2.94-3.10, 2 Dy 3.28
Dy 0.5000 0.2363 0.7637  3 Pu 2.94-3.10, 2 Dy 3.28

No. 4
Material: DyEr6Pu
Method: DFT, GGA-PBE
State: optimized geometry

## Properties
ΔE_f: 2.6 eV per formula unit
symmetry: Amm2, No. 38
D(E_F): 2.228 states/eV/atom

Cell: 7.0387 7.0387 5.5583 Å, 90.00 90.00 119.98°
Last column: nearest neighbours and their distance in Å.
Fractional coordinates of all 8 atoms:
Er 0.1712 0.3417 0.0000  2 Pu 3.41, 8 Er 3.43-3.61, 2 Dy 3.43-3.61
Er 0.6583 0.8288 0.0000  2 Pu 3.41, 8 Er 3.43-3.61, 2 Dy 3.43-3.61
Er 0.8340 0.6692 0.5000  8 Er 3.45-3.55, 2 Dy 3.46, 2 Pu 3.51-3.53
Er 0.3308 0.1660 0.5000  8 Er 3.45-3.55, 2 Dy 3.46, 2 Pu 3.51-3.53
Er 0.8345 0.1655 0.5000  10 Er 3.45-3.55, 2 Pu 3.52
Er 0.6666 0.3334 0.0000  10 Er 3.45-3.52, 2 Dy 3.52
Pu 0.3335 0.6665 0.5000  2 Dy 3.41, 10 Er 3.41-3.53
Dy 0.1711 0.8289 0.0000  2 Pu 3.41, 10 Er 3.43-3.61

No. 5
Material: DyErPu
Method: DFT, GGA-PBE
State: optimized geometry

## Properties
ΔE_f: 0.4 eV per formula unit
symmetry: P3m1, No. 156
D(E_F): 3.026 states/eV/atom

Cell: 3.4953 3.4953 8.4955 Å, 90.00 90.00 120.00°
Last column: nearest neighbours and their distance in Å.
Fractional coordinates of all 3 atoms:
Er 0.3333 0.6667 0.6645  3 Pu 3.46, 6 Er 3.50, 3 Dy 3.50
Pu 0.6667 0.3333 0.3342  3 Er 3.46, 3 Dy 3.47, 6 Pu 3.50
Dy 0.0000 0.0000 0.0013  3 Pu 3.47, 6 Dy 3.50, 3 Er 3.50

No. 6
Material: Dy6Er5Pu
Method: DFT, GGA-PBE
State: optimized geometry

## Properties
ΔE_f: 0.5 eV per formula unit
symmetry: C2/m, No. 12
D(E_F): 2.000 states/eV/atom

Cell: 6.0898 6.0883 11.6149 Å, 84.99 79.95 59.99°
Last column: nearest neighbours and their distance in Å.
Fractional coordinates of all 12 atoms:
Pu 0.0000 0.0000 0.0000  6 Dy 3.48, 6 Er 3.51-3.52
Er 0.6665 0.6669 0.0000  6 Dy 3.50, 3 Er 3.51-3.52, 3 Pu 3.51-3.52
Er 0.8327 0.3345 0.5000  6 Er 3.51-3.53, 6 Dy 3.51-3.53
Er 0.1673 0.6655 0.5000  6 Er 3.51-3.53, 6 Dy 3.51-3.53
Er 0.3335 0.3331 0.0000  6 Dy 3.50, 3 Er 3.51-3.52, 3 Pu 3.51-3.52
Er 0.5000 0.0000 0.5000  6 Er 3.51-3.52, 6 Dy 3.51-3.53
Dy 0.9171 0.6702 0.2485  6 Dy 3.48-3.53, 1 Pu 3.48, 5 Er 3.50-3.53
Dy 0.2470 0.0000 0.2485  6 Dy 3.48-3.53, 1 Pu 3.48, 5 Er 3.50-3.53
Dy 0.5873 0.3298 0.2485  6 Dy 3.48-3.53, 1 Pu 3.48, 5 Er 3.50-3.53
Dy 0.4127 0.6702 0.7515  6 Dy 3.48-3.53, 1 Pu 3.48, 5 Er 3.50-3.53
Dy 0.7530 0.0000 0.7515  6 Dy 3.48-3.53, 1 Pu 3.48, 5 Er 3.50-3.53
Dy 0.0829 0.3298 0.7515  6 Dy 3.48-3.53, 1 Pu 3.48, 5 Er 3.50-3.53